# 1
DFT (PBE) results for a relaxed structure of LiPt.

a = 3.9230 Å, b = 3.9230 Å, c = 4.1184 Å
α = 90.00°, β = 90.00°, γ = 120.00°
Fractional positions:
1 Li 0.0000 0.0000 0.0000
2 Li 0.0000 0.0000 0.5000
3 Pt 0.3333 0.6667 0.2500
4 Pt 0.6667 0.3333 0.7500

- formation energy from the elements (eV per atom) = 0.031
- uncorrected energy (Ry per atom) = -0.2901

***

# 2
DFT (PBE) results for a relaxed structure of Li2Pt.

a = 7.4119 Å, b = 7.4119 Å, c = 2.7053 Å
α = 90.00°, β = 90.00°, γ = 120.00°
Fractional positions:
1 Li 0.6964 0.6964 0.0000
2 Li 0.3656 0.3656 0.5000
3 Li 0.0000 0.3036 0.0000
4 Li 0.0000 0.6344 0.5000
5 Li 0.3036 0.0000 0.0000
6 Li 0.6344 0.0000 0.5000
7 Pt 0.0000 0.0000 0.5000
8 Pt 0.3333 0.6667 0.0000
9 Pt 0.6667 0.3333 0.0000

- formation energy from the elements (eV per atom) = -0.522
- offset from the most stable computed form (eV/atom) = 0.040
- uncorrected energy (Ry per atom) = -0.2802

***

# 3
DFT (PBE) results for a relaxed structure of LiPt.

a = 7.8513 Å, b = 7.8513 Å, c = 4.1834 Å
α = 90.00°, β = 90.00°, γ = 90.00°
Fractional positions:
1 Li 0.2151 0.5000 0.0000
2 Li 0.7849 0.5000 0.0000
3 Li 0.5000 0.7849 0.0000
4 Li 0.5000 0.2151 0.0000
5 Li 0.7151 0.0000 0.5000
6 Li 0.2849 0.0000 0.5000
7 Li 0.0000 0.2849 0.5000
8 Li 0.0000 0.7151 0.5000
9 Pt 0.8290 0.8290 0.0000
10 Pt 0.8290 0.1710 0.0000
11 Pt 0.1710 0.8290 0.0000
12 Pt 0.1710 0.1710 0.0000
13 Pt 0.3290 0.3290 0.5000
14 Pt 0.3290 0.6710 0.5000
15 Pt 0.6710 0.3290 0.5000
16 Pt 0.6710 0.6710 0.5000

- formation energy from the elements (eV per atom) = -0.307
- uncorrected energy (Ry per atom) = -0.3149

***

# 4
DFT (PBE) results for a relaxed structure of LiPt3.

a = 3.8823 Å, b = 3.8823 Å, c = 3.8821 Å
α = 90.00°, β = 90.00°, γ = 90.00°
Fractional positions:
1 Pt 0.0000 0.0000 0.0833
2 Pt 0.0000 0.5000 0.5833
3 Pt 0.5000 0.5000 0.0833
4 Li 0.5000 0.0000 0.5835

- formation energy from the elements (eV per atom) = -0.421
- uncorrected energy (Ry per atom) = -0.3991

***

# 5
DFT (PBE) results for a relaxed structure of LiPt3.

a = 4.7873 Å, b = 4.7873 Å, c = 10.9507 Å
α = 149.83°, β = 149.83°, γ = 33.49°
Fractional positions:
1 Pt 0.9999 0.9999 0.2480
2 Pt 0.0000 0.0000 0.5000
3 Pt 0.0001 0.0001 0.7520
4 Li 0.0000 0.0000 0.0000

- formation energy from the elements (eV per atom) = -0.341
- uncorrected energy (Ry per atom) = -0.3932

***

# 6
DFT (PBE) results for a relaxed structure of LiPt.

a = 4.5076 Å, b = 4.5076 Å, c = 4.5076 Å
α = 35.82°, β = 35.82°, γ = 35.82°
Fractional positions:
1 Pt 0.5000 0.5000 0.5000
2 Li 0.0000 0.0000 0.0000

- formation energy from the elements (eV per atom) = -0.598
- uncorrected energy (Ry per atom) = -0.3363

***

# 7
DFT (PBE) results for a relaxed structure of Li3Pt2.

a = 4.4862 Å, b = 4.4862 Å, c = 4.9513 Å
α = 90.00°, β = 90.00°, γ = 120.00°
Fractional positions:
1 Li 0.0000 0.0000 0.0000
2 Li 0.6667 0.3333 0.5810
3 Li 0.3333 0.6667 0.4190
4 Pt 0.6667 0.3333 0.0670
5 Pt 0.3333 0.6667 0.9330

- formation energy from the elements (eV per atom) = -0.326
- offset from the most stable computed form (eV/atom) = 0.188
- uncorrected energy (Ry per atom) = -0.2859

***

# 8
DFT (PBE) results for a relaxed structure of LiPt3.

a = 2.7459 Å, b = 4.5814 Å, c = 4.7419 Å
α = 90.00°, β = 90.00°, γ = 90.00°
Fractional positions:
1 Pt 0.0000 0.5000 0.3515
2 Pt 0.5000 0.0000 0.4788
3 Pt 0.5000 0.5000 0.8542
4 Li 0.0000 0.0000 0.9822

- formation energy from the elements (eV per atom) = -0.366
- uncorrected energy (Ry per atom) = -0.3950

***

- Look up the uncorrected energy of the sixth one.
  -0.3363 Ry per atom

***

- Which value of formation energy from the elements does entry 5 give?
  -0.341 eV per atom